DFT (GGA+U) results for crystalline Ba2NiIO6 at its relaxed geometry.

Crystal system: cubic
Space-group type: No. 225

Lattice parameters (Å, degrees): 5.8591 5.8586 8.2851 90.00 90.00 90.00
Element x y z (fractional)
O (0.2569, 0.4931, 0.5000)
O (0.5000, 0.2500, 0.2569)
O (0.2569, 0.0069, 0.5000)
O (0.0000, 0.7500, 0.7569)
O (0.0000, 0.7500, 0.2431)
O (0.5000, 0.2500, 0.7431)
O (0.7569, 0.9931, 0.0000)
O (0.7431, 0.0069, 0.5000)
O (0.7569, 0.5069, 0.0000)
O (0.2431, 0.5069, 0.0000)
O (0.2431, 0.9931, 0.0000)
O (0.7431, 0.4931, 0.5000)
Ni (0.0000, 0.7500, 0.5000)
Ni (0.5000, 0.2500, 0.0000)
Ba (0.0000, 0.2500, 0.2500)
Ba (0.5000, 0.7500, 0.2500)
Ba (0.0000, 0.2500, 0.7500)
Ba (0.5000, 0.7500, 0.7500)
I (0.0000, 0.7500, 0.0000)
I (0.5000, 0.2500, 0.5000)

---

DFT (GGA+U) results for crystalline Ba2NiI2O2 at its relaxed geometry.

Crystal system: tetragonal
Space-group type: No. 139

Lattice parameters (Å, degrees): 4.3091 4.3091 10.7929 101.52 101.52 90.00
Element x y z (fractional)
Ba (0.4156, 0.4156, 0.8312)
Ba (0.5844, 0.5844, 0.1688)
I (0.1667, 0.1667, 0.3334)
I (0.8333, 0.8333, 0.6666)
Ni (0.0000, 0.0000, 0.0000)
O (0.0000, 0.5000, 0.0000)
O (0.5000, 0.0000, 0.0000)

---

DFT (GGA+U) results for crystalline BaNiIO2 at its relaxed geometry.

Crystal system: tetragonal
Excess energy over the best structure of this formula in the dataset: 0.000 eV/atom
Space-group type: No. 123

Lattice parameters (Å, degrees): 4.5300 4.5300 5.1756 90.00 90.00 90.00
Element x y z (fractional)
Ni (0.0000, 0.0000, 0.0000)
I (0.0000, 0.0000, 0.5000)
Ba (0.5000, 0.5000, 0.5000)
O (0.0000, 0.5000, 0.0000)
O (0.5000, 0.0000, 0.0000)

---

DFT (GGA+U) results for crystalline BaNiI2O8 at its relaxed geometry.

Crystal system: trigonal
Space-group type: No. 148

Lattice parameters (Å, degrees): 5.3487 5.3487 7.6456 69.53 69.53 60.00
Element x y z (fractional)
O (0.9141, 0.6777, 0.1583)
O (0.6777, 0.2500, 0.1583)
O (0.2500, 0.9141, 0.1583)
O (0.1992, 0.1992, 0.4025)
O (0.3223, 0.7500, 0.8417)
O (0.8008, 0.8008, 0.5975)
O (0.0859, 0.3223, 0.8417)
O (0.7500, 0.0859, 0.8417)
Ni (0.0000, 0.0000, 0.0000)
I (0.2862, 0.2862, 0.1414)
I (0.7138, 0.7138, 0.8586)
Ba (0.5000, 0.5000, 0.5000)

---

DFT (GGA+U) results for crystalline BaNiIO2 at its relaxed geometry.

Crystal system: tetragonal
Excess energy over the best structure of this formula in the dataset: 0.511 eV/atom
Space-group type: No. 123

Lattice parameters (Å, degrees): 4.4757 4.4757 7.4374 90.00 90.00 90.00
Element x y z (fractional)
Ni (0.5000, 0.5000, 0.5000)
I (0.0000, 0.0000, 0.5000)
O (0.5000, 0.0000, 0.0000)
O (0.0000, 0.5000, 0.0000)
Ba (0.0000, 0.0000, 0.0000)

---

Asked for DFT total energy across the records above, the calculation gives -0.1958, -0.1656, -0.1426, -0.1708, -0.1238 Ha/atom in order.
Asked for V across the records above, the calculation gives 14.22, 27.46, 21.24, 14.44, 29.80 Å³ per atom in order.
Asked for magnetization across the records above, the calculation gives 2.70, 2.00, 3.01, 0.00, 1.30 μB per cell in order.